Arrangement P

{"formula": "ZrBiAsO", "functional": "PBE", "state": "relaxed", "volume_a3_per_cell": 198.6, "m_tot_mub_per_cell": 0.02, "cell": [[-3.361, 0.703, 1.385], [-0.016, -6.938, 3.480], [2.899, 2.808, 5.611]], "species": ["Zr", "O", "O", "Zr", "As", "As", "Bi", "Bi"], "fractional_positions": [[0.500, 0.395, 0.981], [0.500, 0.565, 0.762], [0.500, 0.435, 0.262], [0.500, 0.605, 0.481], [0.000, 0.147, 0.950], [0.000, 0.853, 0.450], [0.000, 0.790, 0.061], [0.000, 0.210, 0.561]]}

=====

Arrangement Q

{"formula": "ZrBiAsO", "functional": "PBE", "state": "relaxed", "volume_a3_per_cell": 183.8, "m_tot_mub_per_cell": 0.00, "cell": [[3.778, 0.000, 0.000], [0.000, 8.652, 0.000], [0.000, 0.000, 5.625]], "species": ["As", "O", "Zr", "Bi", "O", "Zr", "Bi", "As"], "fractional_positions": [[0.000, 0.170, 0.942], [0.500, 0.777, 0.943], [0.000, 0.142, 0.440], [0.500, 0.416, 0.929], [0.500, 0.223, 0.443], [0.000, 0.858, 0.940], [0.500, 0.584, 0.429], [0.000, 0.830, 0.442]]}

=====

Which one sits at the bottom of the stability order? arrangement P does.

=====

Arrangement P

{"formula": "SmBiAs", "functional": "PBE", "state": "relaxed", "volume_a3_per_cell": 95.2, "m_tot_mub_per_cell": 0.00, "cell": [[-1.852, -4.258, -2.171], [-1.800, -3.798, 2.933], [-5.032, -0.967, 0.138]], "species": ["Sm", "Bi", "As"], "fractional_positions": [[0.000, 0.000, 0.000], [0.750, 0.750, 0.750], [0.250, 0.250, 0.250]]}

=====

Arrangement Q

{"formula": "SmBiAs", "functional": "PBE", "state": "relaxed", "volume_a3_per_cell": 88.4, "m_tot_mub_per_cell": 0.01, "cell": [[0.000, 3.536, 3.536], [3.536, 0.000, 3.536], [3.536, 3.536, 0.000]], "species": ["Sm", "Bi", "As"], "fractional_positions": [[0.750, 0.750, 0.750], [0.250, 0.250, 0.250], [0.000, 0.000, 0.000]]}

=====

Which one sits at the bottom of the stability order? arrangement P does.